{
  "formula": "ScAuSe2N",
  "functional": "PBE-GGA",
  "state": "relaxed",
  "lattice_angstrom": [[-4.465, -1.633, -2.186], [-0.275, -3.902, 3.477], [-2.019, 2.292, 2.412]],
  "species": ["N", "Se", "Se", "Au", "Sc"],
  "fractional_positions": [[0.000, 0.000, 0.500], [0.500, 0.000, 0.000], [0.000, 0.500, 0.000], [0.000, 0.000, 0.000], [0.500, 0.500, 0.500]],
  "e_form_raw_ev_per_atom": 0.42,
  "spacegroup": "P4/mmm (123)"
}

***

{
  "formula": "ScAuSe2N",
  "functional": "PBE-GGA",
  "state": "relaxed",
  "lattice_angstrom": [[-3.449, -3.643, 1.505], [1.797, -3.232, -3.708], [2.665, -1.463, 2.566]],
  "species": ["Sc", "Au", "Se", "Se", "N"],
  "fractional_positions": [[0.000, 0.000, 0.000], [0.500, 0.500, 0.500], [0.500, 0.000, 0.000], [0.000, 0.500, 0.000], [0.000, 0.000, 0.500]],
  "e_form_raw_ev_per_atom": 0.35,
  "spacegroup": "P4/mmm (123)"
}

***

{
  "formula": "Sc4SiAuN",
  "functional": "PBE-GGA",
  "state": "relaxed",
  "lattice_angstrom": [[6.147, 0.000, 0.000], [0.000, 6.111, 0.000], [-3.073, 0.000, 6.922]],
  "species": ["Sc", "Sc", "Sc", "Sc", "Sc", "Sc", "Sc", "Sc", "Si", "Si", "N", "N", "Au", "Au"],
  "fractional_positions": [[0.500, 0.500, 0.500], [0.083, 0.750, 0.165], [0.000, 0.000, 0.500], [0.420, 0.750, 0.839], [0.917, 0.250, 0.835], [0.580, 0.250, 0.161], [0.500, 0.000, 0.500], [0.000, 0.500, 0.500], [0.882, 0.750, 0.765], [0.118, 0.250, 0.235], [0.752, 0.250, 0.504], [0.248, 0.750, 0.496], [0.387, 0.250, 0.774], [0.613, 0.750, 0.226]],
  "e_form_raw_ev_per_atom": -1.00,
  "spacegroup": "Cmcm (63)"
}

***

Number 1: energy -4.558 eV per atom, DOS at the Fermi energy 2.2 states/eV/cell. Number 2: energy -4.635 eV per atom, DOS at the Fermi energy 5.5 states/eV/cell. Number 3: energy -7.048 eV per atom, DOS at the Fermi energy 6.5 states/eV/cell.